[1]
Eu2BIN2 after structural relaxation, computed with PBE.

## Properties
V: 139.5 Å³/f.u.
space group: P2_1/m, No. 11
ΔE_f (raw): -7.7 eV/f.u.

a b c (Å): 10.2995 4.1225 13.1492
angles (deg): 90.00 91.99 90.00
Element x y z (fractional)
Eu1 0.0778 0.2500 0.4038
Eu2 0.1953 0.2500 0.8844
Eu3 0.3457 0.7500 0.1319
Eu4 0.3984 0.7500 0.6748
Eu5 0.6016 0.2500 0.3252
Eu6 0.6543 0.2500 0.8681
Eu7 0.8047 0.7500 0.1156
Eu8 0.9222 0.7500 0.5962
B1 0.1616 0.2500 0.6475
B2 0.4192 0.7500 0.8972
B3 0.5808 0.2500 0.1028
B4 0.8384 0.7500 0.3525
I1 0.0770 0.2500 0.1423
I2 0.3475 0.7500 0.4042
I3 0.6525 0.2500 0.5958
I4 0.9230 0.7500 0.8577
N1 0.0519 0.2500 0.5888
N2 0.2709 0.2500 0.7076
N3 0.3067 0.7500 0.9471
N4 0.4748 0.2500 0.1602
N5 0.5252 0.7500 0.8398
N6 0.6933 0.2500 0.0529
N7 0.7291 0.7500 0.2924
N8 0.9481 0.7500 0.4112


[2]
EuBIr after structural relaxation, computed with PBE.

## Properties
V: 53.5 Å³/f.u.
polymorph energy (0 for the lowest one): 0 meV per atom
energy relative to the elements: -1.438 eV/f.u.
space group: P-6m2, No. 187

a b c (Å): 3.6517 3.6517 4.6332
angles (deg): 90.00 90.00 120.00
Element x y z (fractional)
Eu1 0.0000 0.0000 0.0000
B1 0.3333 0.6667 0.5000
Ir1 0.6667 0.3333 0.5000


[3]
EuBIr after structural relaxation, computed with PBE.

## Properties
V: 47.0 Å³/f.u.
polymorph energy (0 for the lowest one): 359 meV per atom
energy relative to the elements: -0.362 eV/f.u.
space group: I4mm, No. 107

a b c (Å): 5.8170 5.8170 5.8170
angles (deg): 150.71 150.71 41.90
Element x y z (fractional)
Eu1 0.0000 0.0000 0.0000
B1 0.7011 0.7011 0.0000
Ir1 0.2756 0.2756 0.0000


[4]
LaEuB12 after structural relaxation, computed with PBE.

## Properties
V: 143.6 Å³/f.u.
energy relative to the elements: -7.356 eV/f.u.
space group: Fm-3m, No. 225

a b c (Å): 5.8783 5.8783 5.8783
angles (deg): 60.00 60.00 60.00
Element x y z (fractional)
La1 0.0000 0.0000 0.0000
Eu1 0.5000 0.5000 0.5000
B1 0.1002 0.1002 0.3998
B2 0.1002 0.3998 0.1002
B3 0.1002 0.3998 0.3998
B4 0.3998 0.1002 0.1002
B5 0.3998 0.1002 0.3998
B6 0.3998 0.3998 0.1002
B7 0.6002 0.6002 0.8998
B8 0.6002 0.8998 0.6002
B9 0.6002 0.8998 0.8998
B10 0.8998 0.6002 0.6002
B11 0.8998 0.6002 0.8998
B12 0.8998 0.8998 0.6002


[5]
LaEuB12 after structural relaxation, computed with PBE.

## Properties
V: 143.7 Å³/f.u.
energy relative to the elements: -7.360 eV/f.u.
space group: P4/mmm, No. 123

a b c (Å): 4.1580 4.1580 8.3127
angles (deg): 90.00 90.00 90.00
Element x y z (fractional)
La1 0.0000 0.0000 0.0000
Eu1 0.0000 0.0000 0.5000
B1 0.2006 0.5000 0.2500
B2 0.2006 0.5000 0.7500
B3 0.5000 0.2006 0.2500
B4 0.5000 0.2006 0.7500
B5 0.5000 0.5000 0.1002
B6 0.5000 0.5000 0.3997
B7 0.5000 0.5000 0.6003
B8 0.5000 0.5000 0.8998
B9 0.5000 0.7994 0.2500
B10 0.5000 0.7994 0.7500
B11 0.7994 0.5000 0.2500
B12 0.7994 0.5000 0.7500


[6]
EuMgB5O10 after structural relaxation, computed with PBE.

## Properties
V: 160.1 Å³/f.u.
space group: P2_1/c, No. 14
ΔE_f (raw): -43.7 eV/f.u.

a b c (Å): 8.8202 7.6573 12.6912
angles (deg): 90.00 131.67 90.00
Element x y z (fractional)
Eu1 0.0476 0.1892 0.2376
Eu2 0.0476 0.3108 0.7376
Eu3 0.9524 0.6892 0.2624
Eu4 0.9524 0.8108 0.7624
Mg1 0.4812 0.5889 0.8756
Mg2 0.4812 0.9111 0.3756
Mg3 0.5188 0.0889 0.6244
Mg4 0.5188 0.4111 0.1244
B1 0.0938 0.6726 0.6071
B2 0.0938 0.8274 0.1071
B3 0.1558 0.5970 0.0028
B4 0.1558 0.9030 0.5028
B5 0.2722 0.0310 0.0524
B6 0.2722 0.4690 0.5524
B7 0.3516 0.5799 0.2640
B8 0.3516 0.9201 0.7640
B9 0.4827 0.1866 0.9135
B10 0.4827 0.3134 0.4135
B11 0.5173 0.6866 0.5865
B12 0.5173 0.8134 0.0865
B13 0.6484 0.0799 0.2360
B14 0.6484 0.4201 0.7360
B15 0.7278 0.5310 0.4476
B16 0.7278 0.9690 0.9476
B17 0.8442 0.0970 0.4972
B18 0.8442 0.4030 0.9972
B19 0.9062 0.1726 0.8929
B20 0.9062 0.3274 0.3929
O1 0.0276 0.7237 0.9854
O2 0.0276 0.7763 0.4854
O3 0.0838 0.1039 0.9161
O4 0.0838 0.3961 0.4161
O5 0.1185 0.5410 0.8857
O6 0.1185 0.9590 0.3857
O7 0.2100 0.7174 0.2365
O8 0.2100 0.7826 0.7365
O9 0.2364 0.5285 0.6463
O10 0.2364 0.9715 0.1463
O11 0.3191 0.5356 0.1348
O12 0.3191 0.9644 0.6348
O13 0.3209 0.0831 0.8091
O14 0.3209 0.4169 0.3091
O15 0.3214 0.6271 0.5084
O16 0.3214 0.8729 0.0084
O17 0.4324 0.1518 0.4303
O18 0.4324 0.3482 0.9303
O19 0.4431 0.1526 0.1285
O20 0.4431 0.3474 0.6285
O21 0.5569 0.6526 0.3715
O22 0.5569 0.8474 0.8715
O23 0.5676 0.6518 0.0697
O24 0.5676 0.8482 0.5697
O25 0.6786 0.1271 0.9916
O26 0.6786 0.3729 0.4916
O27 0.6791 0.5831 0.6909
O28 0.6791 0.9169 0.1909
O29 0.6809 0.0356 0.3652
O30 0.6809 0.4644 0.8652
O31 0.7636 0.0285 0.8537
O32 0.7636 0.4715 0.3537
O33 0.7900 0.2174 0.2635
O34 0.7900 0.2826 0.7635
O35 0.8815 0.0410 0.6143
O36 0.8815 0.4590 0.1143
O37 0.9162 0.6039 0.5839
O38 0.9162 0.8961 0.0839
O39 0.9724 0.2237 0.5146
O40 0.9724 0.2763 0.0146


[7]
EuMnB2 after structural relaxation, computed with PBE.

## Properties
V: 53.9 Å³/f.u.
energy relative to the elements: 0.368 eV/f.u.
space group: R-3m, No. 166

a b c (Å): 5.3829 5.3829 5.3829
angles (deg): 38.33 38.33 38.33
Element x y z (fractional)
Eu1 0.0000 0.0000 0.0000
Mn1 0.5000 0.5000 0.5000
B1 0.1891 0.1891 0.1891
B2 0.8109 0.8109 0.8109


[8]
EuB3N3 after structural relaxation, computed with PBE.

## Properties
V: 56.3 Å³/f.u.
space group: Pm-3n, No. 223
ΔE_f (raw): 0.8 eV/f.u.

a b c (Å): 4.8284 4.8284 4.8284
angles (deg): 90.00 90.00 90.00
Element x y z (fractional)
Eu1 0.0000 0.0000 0.0000
Eu2 0.5000 0.5000 0.5000
B1 0.0000 0.2500 0.5000
B2 0.0000 0.7500 0.5000
B3 0.2500 0.5000 0.0000
B4 0.5000 0.0000 0.2500
B5 0.5000 0.0000 0.7500
B6 0.7500 0.5000 0.0000
N1 0.0000 0.5000 0.2500
N2 0.0000 0.5000 0.7500
N3 0.2500 0.0000 0.5000
N4 0.5000 0.2500 0.0000
N5 0.5000 0.7500 0.0000
N6 0.7500 0.0000 0.5000


[9]
Na3Eu9B8O27 after structural relaxation, computed with PBE.

## Properties
V: 571.9 Å³/f.u.
space group: P-62m, No. 189
ΔE_f (raw): -121.8 eV/f.u.

a b c (Å): 8.8159 8.8159 8.4962
angles (deg): 90.00 90.00 120.00
Element x y z (fractional)
Na1 0.0000 0.3322 0.0000
Na2 0.3322 0.0000 0.0000
Na3 0.6678 0.6678 0.0000
Eu1 0.0000 0.2802 0.5000
Eu2 0.0000 0.6504 0.2388
Eu3 0.0000 0.6504 0.7612
Eu4 0.2802 0.0000 0.5000
Eu5 0.3496 0.3496 0.2388
Eu6 0.3496 0.3496 0.7612
Eu7 0.6504 0.0000 0.2388
Eu8 0.6504 0.0000 0.7612
Eu9 0.7198 0.7198 0.5000
B1 0.0000 0.0000 0.2116
B2 0.0000 0.0000 0.7884
B3 0.3333 0.6667 0.0000
B4 0.3333 0.6667 0.3279
B5 0.3333 0.6667 0.6721
B6 0.6667 0.3333 0.0000
B7 0.6667 0.3333 0.3279
B8 0.6667 0.3333 0.6721
O1 0.0000 0.1567 0.2136
O2 0.0000 0.1567 0.7864
O3 0.0000 0.7478 0.5000
O4 0.1567 0.0000 0.2136
O5 0.1567 0.0000 0.7864
O6 0.1774 0.5113 0.3214
O7 0.1774 0.5113 0.6786
O8 0.1811 0.6776 0.0000
O9 0.2522 0.2522 0.5000
O10 0.3224 0.5035 0.0000
O11 0.3339 0.8226 0.3214
O12 0.3339 0.8226 0.6786
O13 0.4887 0.6661 0.3214
O14 0.4887 0.6661 0.6786
O15 0.4965 0.8189 0.0000
O16 0.5035 0.3224 0.0000
O17 0.5113 0.1774 0.3214
O18 0.5113 0.1774 0.6786
O19 0.6661 0.4887 0.3214
O20 0.6661 0.4887 0.6786
O21 0.6776 0.1811 0.0000
O22 0.7478 0.0000 0.5000
O23 0.8189 0.4965 0.0000
O24 0.8226 0.3339 0.3214
O25 0.8226 0.3339 0.6786
O26 0.8433 0.8433 0.2136
O27 0.8433 0.8433 0.7864


[10]
EuNi3B after structural relaxation, computed with PBE.

## Properties
V: 67.5 Å³/f.u.
energy relative to the elements: -0.778 eV/f.u.
space group: Pm-3m, No. 221

a b c (Å): 4.0707 4.0707 4.0707
angles (deg): 90.00 90.00 90.00
Element x y z (fractional)
Eu1 0.0000 0.0000 0.0000
Ni1 0.0000 0.5000 0.5000
Ni2 0.5000 0.0000 0.5000
Ni3 0.5000 0.5000 0.0000
B1 0.5000 0.5000 0.5000


[11]
EuNiB after structural relaxation, computed with PBE.

## Properties
V: 43.3 Å³/f.u.
polymorph energy (0 for the lowest one): 273 meV per atom
energy relative to the elements: 0.572 eV/f.u.
space group: I4mm, No. 107

a b c (Å): 5.5316 5.5316 5.5316
angles (deg): 149.58 149.58 43.56
Element x y z (fractional)
Eu1 0.0000 0.0000 0.0000
Ni1 0.2721 0.2721 0.0000
B1 0.7130 0.7130 0.0000


[12]
EuNiB after structural relaxation, computed with PBE.

## Properties
V: 48.1 Å³/f.u.
polymorph energy (0 for the lowest one): 0 meV per atom
energy relative to the elements: -0.247 eV/f.u.
space group: P-6m2, No. 187

a b c (Å): 3.5919 3.5919 4.3009
angles (deg): 90.00 90.00 120.00
Element x y z (fractional)
Eu1 0.0000 0.0000 0.0000
Ni1 0.6667 0.3333 0.5000
B1 0.3333 0.6667 0.5000


[13]
EuNi12B6 after structural relaxation, computed with PBE.

## Properties
V: 195.5 Å³/f.u.
energy relative to the elements: -6.912 eV/f.u.
space group: R-3m, No. 166

a b c (Å): 6.0487 6.0487 6.0487
angles (deg): 104.50 104.50 104.50
Element x y z (fractional)
Eu1 0.0000 0.0000 0.0000
Ni1 0.1315 0.5000 0.8685
Ni2 0.1315 0.8685 0.5000
Ni3 0.1879 0.4572 0.4572
Ni4 0.4572 0.1879 0.4572
Ni5 0.4572 0.4572 0.1879
Ni6 0.5000 0.1315 0.8685
Ni7 0.5000 0.8685 0.1315
Ni8 0.5428 0.5428 0.8121
Ni9 0.5428 0.8121 0.5428
Ni10 0.8121 0.5428 0.5428
Ni11 0.8685 0.1315 0.5000
Ni12 0.8685 0.5000 0.1315
B1 0.2342 0.2342 0.6630
B2 0.2342 0.6630 0.2342
B3 0.3370 0.7658 0.7658
B4 0.6630 0.2342 0.2342
B5 0.7658 0.3370 0.7658
B6 0.7658 0.7658 0.3370


[14]
EuBO3 after structural relaxation, computed with PBE.

## Properties
V: 65.0 Å³/f.u.
space group: Ama2, No. 40
ΔE_f (raw): -13.2 eV/f.u.

a b c (Å): 8.9495 4.0137 4.0137
angles (deg): 115.59 90.00 90.00
Element x y z (fractional)
Eu1 0.0000 0.0000 0.0000
Eu2 0.5000 0.0000 0.0000
B1 0.2500 0.5345 0.2630
B2 0.7500 0.2630 0.5345
O1 0.1093 0.6933 0.3557
O2 0.2500 0.1581 0.0394
O3 0.3907 0.6933 0.3557
O4 0.6093 0.3557 0.6933
O5 0.7500 0.0394 0.1581
O6 0.8907 0.3557 0.6933


[15]
EuB4O7 after structural relaxation, computed with PBE.

## Properties
V: 103.7 Å³/f.u.
space group: Pmn2_1, No. 31
ΔE_f (raw): -30.9 eV/f.u.

a b c (Å): 10.8411 4.4712 4.2785
angles (deg): 90.00 90.00 90.00
Element x y z (fractional)
Eu1 0.0000 0.2104 0.0000
Eu2 0.5000 0.7896 0.5000
B1 0.1216 0.6740 0.5216
B2 0.2488 0.8226 0.9959
B3 0.2512 0.1774 0.4959
B4 0.3784 0.3260 0.0216
B5 0.6216 0.3260 0.0216
B6 0.7488 0.1774 0.4959
B7 0.7512 0.8226 0.9959
B8 0.8784 0.6740 0.5216
O1 0.0000 0.7688 0.4148
O2 0.1356 0.7295 0.8561
O3 0.1422 0.3578 0.4513
O4 0.2211 0.8693 0.3521
O5 0.2789 0.1307 0.8521
O6 0.3578 0.6422 0.9513
O7 0.3644 0.2705 0.3561
O8 0.5000 0.2312 0.9148
O9 0.6356 0.2705 0.3561
O10 0.6422 0.6422 0.9513
O11 0.7211 0.1307 0.8521
O12 0.7789 0.8693 0.3521
O13 0.8578 0.3578 0.4513
O14 0.8644 0.7295 0.8561


[16]
EuBO2 after structural relaxation, computed with PBE.

## Properties
V: 69.7 Å³/f.u.
space group: R-3m, No. 166
ΔE_f (raw): -8.5 eV/f.u.

a b c (Å): 5.1194 5.1194 5.1194
angles (deg): 48.80 48.80 48.80
Element x y z (fractional)
Eu1 0.0000 0.0000 0.0000
B1 0.5000 0.5000 0.5000
O1 0.4039 0.4039 0.4039
O2 0.5961 0.5961 0.5961


[17]
EuBO3 after structural relaxation, computed with PBE.

## Properties
V: 67.3 Å³/f.u.
space group: Cmcm, No. 63
ΔE_f (raw): -13.2 eV/f.u.

a b c (Å): 4.5365 4.5365 8.6402
angles (deg): 90.00 90.00 130.85
Element x y z (fractional)
Eu1 0.0000 0.0000 0.0000
Eu2 0.0000 0.0000 0.5000
B1 0.2788 0.7212 0.7500
B2 0.7212 0.2788 0.2500
O1 0.1118 0.8882 0.7500
O2 0.3567 0.6433 0.6079
O3 0.3567 0.6433 0.8921
O4 0.6433 0.3567 0.1079
O5 0.6433 0.3567 0.3921
O6 0.8882 0.1118 0.2500